{"formula": "Na2Co2B12O21", "functional": "PBE+U", "state": "optimized geometry", "final_energy_ha_per_atom": -0.27875, "total_magnetization_mub_per_cell": 12.0, "crystal_system": "monoclinic", "space_group": "No. 15", "cell": [[11.254, -2.254, 0.000], [11.254, 2.254, 0.000], [-9.404, 0.000, 14.125]], "species": ["Na", "Na", "Na", "Na", "Co", "Co", "Co", "Co", "B", "B", "B", "B", "B", "B", "B", "B", "B", "B", "B", "B", "B", "B", "B", "B", "B", "B", "B", "B", "B", "B", "B", "B", "O", "O", "O", "O", "O", "O", "O", "O", "O", "O", "O", "O", "O", "O", "O", "O", "O", "O", "O", "O", "O", "O", "O", "O", "O", "O", "O", "O", "O", "O", "O", "O", "O", "O", "O", "O", "O", "O", "O", "O", "O", "O"], "fractional_positions": [[0.094, 0.197, 0.491], [0.197, 0.094, 0.991], [0.803, 0.906, 0.009], [0.906, 0.803, 0.509], [0.044, 0.053, 0.106], [0.053, 0.044, 0.606], [0.947, 0.956, 0.394], [0.956, 0.947, 0.894], [0.064, 0.758, 0.200], [0.084, 0.582, 0.703], [0.114, 0.394, 0.180], [0.242, 0.936, 0.300], [0.319, 0.359, 0.843], [0.359, 0.319, 0.343], [0.394, 0.114, 0.680], [0.418, 0.916, 0.797], [0.439, 0.450, 0.007], [0.449, 0.523, 0.173], [0.450, 0.439, 0.507], [0.477, 0.551, 0.327], [0.523, 0.449, 0.673], [0.550, 0.561, 0.493], [0.551, 0.477, 0.827], [0.561, 0.550, 0.993], [0.582, 0.084, 0.203], [0.606, 0.886, 0.320], [0.641, 0.681, 0.657], [0.681, 0.641, 0.157], [0.758, 0.064, 0.700], [0.886, 0.606, 0.820], [0.916, 0.418, 0.297], [0.936, 0.242, 0.800], [0.096, 0.195, 0.338], [0.099, 0.484, 0.274], [0.104, 0.508, 0.882], [0.138, 0.594, 0.799], [0.167, 0.751, 0.004], [0.192, 0.708, 0.293], [0.195, 0.096, 0.838], [0.195, 0.648, 0.136], [0.213, 0.342, 0.640], [0.247, 0.547, 0.424], [0.249, 0.833, 0.496], [0.292, 0.808, 0.207], [0.330, 0.618, 0.593], [0.342, 0.213, 0.140], [0.352, 0.805, 0.364], [0.358, 0.642, 0.750], [0.382, 0.670, 0.907], [0.406, 0.862, 0.701], [0.453, 0.753, 0.076], [0.484, 0.099, 0.774], [0.492, 0.896, 0.618], [0.508, 0.104, 0.382], [0.516, 0.901, 0.226], [0.547, 0.247, 0.924], [0.594, 0.138, 0.299], [0.618, 0.330, 0.093], [0.642, 0.358, 0.250], [0.648, 0.195, 0.636], [0.658, 0.787, 0.860], [0.670, 0.382, 0.407], [0.708, 0.192, 0.793], [0.751, 0.167, 0.504], [0.753, 0.453, 0.576], [0.787, 0.658, 0.360], [0.805, 0.352, 0.864], [0.805, 0.904, 0.162], [0.808, 0.292, 0.707], [0.833, 0.249, 0.996], [0.862, 0.406, 0.201], [0.896, 0.492, 0.118], [0.901, 0.516, 0.726], [0.904, 0.805, 0.662]]}